Density functional theory data (GGA-PBE) for crystalline CaTlBr at its relaxed geometry.

a = 5.096 Å, b = 5.096 Å, c = 4.373 Å
α = 90.00°, β = 90.00°, γ = 120.00°
Fractional coordinates of all 3 atoms:
Ca (0.000, 0.000, 0.000)
Tl (0.667, 0.333, 0.500)
Br (0.333, 0.667, 0.000)

Values from the calculation:
Formation energy without anion corrections in eV/f.u.: -2.11
Crystal system: hexagonal
Excess energy over the best structure of this formula in the dataset in eV/f.u.: 0.518
Symmetry: No. 187
Total energy in eV/atom: -2.72

Density functional theory data (GGA-PBE) for crystalline CaTl2Br at its relaxed geometry.

a = 7.278 Å, b = 7.278 Å, c = 7.278 Å
α = 100.63°, β = 100.63°, γ = 129.12°
Fractional coordinates of all 8 atoms:
Ca (0.000, 0.000, 0.000)
Ca (0.750, 0.250, 0.500)
Tl (0.130, 0.625, 0.005)
Tl (0.375, 0.380, 0.505)
Tl (0.620, 0.125, 0.995)
Tl (0.875, 0.870, 0.495)
Br (0.250, 0.750, 0.500)
Br (0.500, 0.500, 0.000)

Values from the calculation:
Formation energy without anion corrections in eV/f.u.: -1.52
Crystal system: tetragonal
Excess energy over the best structure of this formula in the dataset in eV/f.u.: 1.282
Symmetry: No. 122
Total energy in eV/atom: -2.48

Density functional theory data (GGA-PBE) for crystalline CaTlBr3 at its relaxed geometry.

a = 9.943 Å, b = 4.355 Å, c = 15.898 Å
α = 90.00°, β = 90.00°, γ = 90.00°
Fractional coordinates of all 20 atoms:
Ca (0.173, 0.250, 0.051)
Ca (0.327, 0.750, 0.551)
Ca (0.673, 0.250, 0.449)
Ca (0.827, 0.750, 0.949)
Tl (0.031, 0.750, 0.321)
Tl (0.469, 0.250, 0.821)
Tl (0.531, 0.750, 0.179)
Tl (0.969, 0.250, 0.679)
Br (0.011, 0.250, 0.896)
Br (0.162, 0.250, 0.489)
Br (0.208, 0.750, 0.714)
Br (0.292, 0.250, 0.214)
Br (0.338, 0.750, 0.989)
Br (0.489, 0.750, 0.396)
Br (0.511, 0.250, 0.604)
Br (0.662, 0.250, 0.011)
Br (0.708, 0.750, 0.786)
Br (0.792, 0.250, 0.286)
Br (0.838, 0.750, 0.511)
Br (0.989, 0.750, 0.104)

Values from the calculation:
Formation energy without anion corrections in eV/f.u.: -7.86
Crystal system: orthorhombic
Symmetry: No. 62
Total energy in eV/atom: -3.45

Density functional theory data (GGA-PBE) for crystalline CaTl2Br4 at its relaxed geometry.

a = 7.757 Å, b = 8.204 Å, c = 16.852 Å
α = 90.00°, β = 90.00°, γ = 90.00°
Fractional coordinates of all 28 atoms:
Ca (0.000, 0.000, 0.000)
Ca (0.000, 0.500, 0.500)
Ca (0.500, 0.000, 0.500)
Ca (0.500, 0.500, 0.000)
Tl (0.009, 0.082, 0.351)
Tl (0.009, 0.418, 0.851)
Tl (0.491, 0.582, 0.351)
Tl (0.491, 0.918, 0.851)
Tl (0.509, 0.082, 0.149)
Tl (0.509, 0.418, 0.649)
Tl (0.991, 0.582, 0.149)
Tl (0.991, 0.918, 0.649)
Br (0.092, 0.027, 0.834)
Br (0.092, 0.473, 0.334)
Br (0.195, 0.200, 0.532)
Br (0.195, 0.300, 0.032)
Br (0.305, 0.700, 0.532)
Br (0.305, 0.800, 0.032)
Br (0.408, 0.527, 0.834)
Br (0.408, 0.973, 0.334)
Br (0.592, 0.027, 0.666)
Br (0.592, 0.473, 0.166)
Br (0.695, 0.200, 0.968)
Br (0.695, 0.300, 0.468)
Br (0.805, 0.700, 0.968)
Br (0.805, 0.800, 0.468)
Br (0.908, 0.527, 0.666)
Br (0.908, 0.973, 0.166)

Values from the calculation:
Formation energy without anion corrections in eV/f.u.: -9.54
Crystal system: orthorhombic
Excess energy over the best structure of this formula in the dataset in eV/f.u.: 0.000
Symmetry: No. 61
Total energy in eV/atom: -3.28

Density functional theory data (GGA-PBE) for crystalline CaTlBr6 at its relaxed geometry.

a = 7.092 Å, b = 7.100 Å, c = 7.177 Å
α = 113.32°, β = 94.06°, γ = 118.00°
Fractional coordinates of all 8 atoms:
Ca (0.000, 0.000, 0.000)
Tl (0.500, 0.000, 0.500)
Br (0.066, 0.497, 0.195)
Br (0.259, 0.156, 0.739)
Br (0.451, 0.197, 0.264)
Br (0.549, 0.803, 0.736)
Br (0.741, 0.844, 0.261)
Br (0.934, 0.503, 0.805)

Values from the calculation:
Formation energy without anion corrections in eV/f.u.: -6.75
Crystal system: triclinic
Symmetry: No. 2
Total energy in eV/atom: -2.64

Density functional theory data (GGA-PBE) for crystalline CaTlBr at its relaxed geometry.

a = 7.341 Å, b = 7.341 Å, c = 7.341 Å
α = 149.80°, β = 149.80°, γ = 43.23°
Fractional coordinates of all 3 atoms:
Ca (0.000, 0.000, 0.000)
Tl (0.352, 0.352, 0.000)
Br (0.607, 0.607, 0.000)

Values from the calculation:
Formation energy without anion corrections in eV/f.u.: -2.47
Crystal system: tetragonal
Excess energy over the best structure of this formula in the dataset in eV/f.u.: 0.158
Symmetry: No. 107
Total energy in eV/atom: -2.84

Density functional theory data (GGA-PBE) for crystalline CaTl2Br at its relaxed geometry.

a = 5.901 Å, b = 5.901 Å, c = 5.901 Å
α = 129.62°, β = 129.62°, γ = 74.01°
Fractional coordinates of all 4 atoms:
Ca (0.000, 0.000, 0.000)
Tl (0.250, 0.750, 0.500)
Tl (0.500, 0.500, 0.000)
Br (0.750, 0.250, 0.500)

Values from the calculation:
Formation energy without anion corrections in eV/f.u.: -1.88
Crystal system: tetragonal
Excess energy over the best structure of this formula in the dataset in eV/f.u.: 0.923
Symmetry: No. 119
Total energy in eV/atom: -2.57

Density functional theory data (GGA-PBE) for crystalline CaTlBr at its relaxed geometry.

a = 3.882 Å, b = 3.882 Å, c = 8.258 Å
α = 90.00°, β = 90.00°, γ = 120.00°
Fractional coordinates of all 3 atoms:
Ca (0.000, 0.000, 0.000)
Tl (0.333, 0.667, 0.324)
Br (0.667, 0.333, 0.781)

Values from the calculation:
Formation energy without anion corrections in eV/f.u.: -2.46
Crystal system: trigonal
Excess energy over the best structure of this formula in the dataset in eV/f.u.: 0.168
Symmetry: No. 156
Total energy in eV/atom: -2.84

Density functional theory data (GGA-PBE) for crystalline CaTl2Br5 at its relaxed geometry.

a = 10.053 Å, b = 8.296 Å, c = 7.076 Å
α = 81.27°, β = 54.65°, γ = 44.08°
Fractional coordinates of all 8 atoms:
Ca (0.000, 0.000, 0.000)
Tl (0.307, 0.307, 0.693)
Tl (0.693, 0.693, 0.307)
Br (0.002, 0.289, 0.711)
Br (0.289, 0.002, 0.998)
Br (0.500, 0.500, 0.500)
Br (0.711, 0.998, 0.002)
Br (0.998, 0.711, 0.289)

Values from the calculation:
Formation energy without anion corrections in eV/f.u.: -8.33
Crystal system: orthorhombic
Excess energy over the best structure of this formula in the dataset in eV/f.u.: 0.816
Symmetry: No. 69
Total energy in eV/atom: -2.93

Density functional theory data (GGA-PBE) for crystalline CaTlBr at its relaxed geometry.

a = 5.331 Å, b = 5.331 Å, c = 5.331 Å
α = 60.00°, β = 60.00°, γ = 60.00°
Fractional coordinates of all 3 atoms:
Ca (0.000, 0.000, 0.000)
Tl (0.250, 0.250, 0.250)
Br (0.750, 0.750, 0.750)

Values from the calculation:
Formation energy without anion corrections in eV/f.u.: -1.33
Crystal system: cubic
Excess energy over the best structure of this formula in the dataset in eV/f.u.: 1.298
Symmetry: No. 216
Total energy in eV/atom: -2.46

Density functional theory data (GGA-PBE) for crystalline CaTl2Br at its relaxed geometry.

a = 3.807 Å, b = 5.097 Å, c = 6.295 Å
α = 90.00°, β = 90.00°, γ = 90.00°
Fractional coordinates of all 4 atoms:
Ca (0.000, 0.000, 0.000)
Tl (0.000, 0.500, 0.500)
Tl (0.500, 0.000, 0.500)
Br (0.500, 0.500, 0.000)

Values from the calculation:
Formation energy without anion corrections in eV/f.u.: -2.30
Crystal system: orthorhombic
Excess energy over the best structure of this formula in the dataset in eV/f.u.: 0.499
Symmetry: No. 47
Total energy in eV/atom: -2.68

Density functional theory data (GGA-PBE) for crystalline CaTl2Br at its relaxed geometry.

a = 5.950 Å, b = 5.950 Å, c = 3.797 Å
α = 90.00°, β = 90.00°, γ = 112.53°
Fractional coordinates of all 4 atoms:
Ca (0.000, 0.000, 0.000)
Tl (0.000, 0.500, 0.500)
Tl (0.500, 0.000, 0.500)
Br (0.500, 0.500, 0.000)

Values from the calculation:
Formation energy without anion corrections in eV/f.u.: -1.84
Crystal system: orthorhombic
Excess energy over the best structure of this formula in the dataset in eV/f.u.: 0.962
Symmetry: No. 65
Total energy in eV/atom: -2.56

Density functional theory data (GGA-PBE) for crystalline Ca3TlBr at its relaxed geometry.

a = 5.532 Å, b = 5.532 Å, c = 5.532 Å
α = 90.00°, β = 90.00°, γ = 90.00°
Fractional coordinates of all 5 atoms:
Ca (0.000, 0.000, 0.500)
Ca (0.000, 0.500, 0.000)
Ca (0.500, 0.000, 0.000)
Tl (0.500, 0.500, 0.500)
Br (0.000, 0.000, 0.000)

Values from the calculation:
Formation energy without anion corrections in eV/f.u.: -2.29
Crystal system: cubic
Excess energy over the best structure of this formula in the dataset in eV/f.u.: 0.000
Symmetry: No. 221
Total energy in eV/atom: -2.47

Density functional theory data (GGA-PBE) for crystalline CaTlBr at its relaxed geometry.

a = 15.978 Å, b = 3.949 Å, c = 3.949 Å
α = 60.17°, β = 90.00°, γ = 90.00°
Fractional coordinates of all 6 atoms:
Ca (0.000, 0.000, 0.000)
Ca (0.500, 0.220, 0.220)
Tl (0.343, 0.888, 0.888)
Tl (0.657, 0.888, 0.888)
Br (0.113, 0.334, 0.334)
Br (0.887, 0.334, 0.334)

Values from the calculation:
Formation energy without anion corrections in eV/f.u.: -2.63
Crystal system: orthorhombic
Excess energy over the best structure of this formula in the dataset in eV/f.u.: 0.000
Symmetry: No. 38
Total energy in eV/atom: -2.89

Density functional theory data (GGA-PBE) for crystalline CaTlBr at its relaxed geometry.

a = 5.299 Å, b = 5.299 Å, c = 5.299 Å
α = 60.00°, β = 60.00°, γ = 60.00°
Fractional coordinates of all 3 atoms:
Ca (0.000, 0.000, 0.000)
Tl (0.500, 0.500, 0.500)
Br (0.750, 0.750, 0.750)

Values from the calculation:
Formation energy without anion corrections in eV/f.u.: -1.44
Crystal system: cubic
Excess energy over the best structure of this formula in the dataset in eV/f.u.: 1.193
Symmetry: No. 216
Total energy in eV/atom: -2.49

Density functional theory data (GGA-PBE) for crystalline CaTl2Br4 at its relaxed geometry.

a = 7.581 Å, b = 7.581 Å, c = 8.953 Å
α = 116.58°, β = 116.58°, γ = 33.70°
Fractional coordinates of all 7 atoms:
Ca (0.000, 0.000, 0.000)
Tl (0.318, 0.318, 0.333)
Tl (0.682, 0.682, 0.667)
Br (0.095, 0.095, 0.366)
Br (0.358, 0.358, 0.974)
Br (0.642, 0.642, 0.026)
Br (0.905, 0.905, 0.634)

Values from the calculation:
Formation energy without anion corrections in eV/f.u.: -9.44
Crystal system: monoclinic
Excess energy over the best structure of this formula in the dataset in eV/f.u.: 0.100
Symmetry: No. 12
Total energy in eV/atom: -3.27

Density functional theory data (GGA-PBE) for crystalline CaTl3Br at its relaxed geometry.

a = 6.140 Å, b = 6.140 Å, c = 6.140 Å
α = 90.00°, β = 90.00°, γ = 90.00°
Fractional coordinates of all 5 atoms:
Ca (0.000, 0.000, 0.000)
Tl (0.000, 0.000, 0.500)
Tl (0.000, 0.500, 0.000)
Tl (0.500, 0.000, 0.000)
Br (0.500, 0.500, 0.500)

Values from the calculation:
Formation energy without anion corrections in eV/f.u.: 1.03
Crystal system: cubic
Excess energy over the best structure of this formula in the dataset in eV/f.u.: 1.174
Symmetry: No. 221
Total energy in eV/atom: -1.95

Density functional theory data (GGA-PBE) for crystalline CaTl2Br at its relaxed geometry.

a = 6.542 Å, b = 6.542 Å, c = 6.542 Å
α = 146.37°, β = 125.54°, γ = 65.55°
Fractional coordinates of all 4 atoms:
Ca (0.000, 0.000, 0.000)
Tl (0.257, 0.757, 0.500)
Tl (0.529, 0.529, 0.000)
Br (0.806, 0.306, 0.500)

Values from the calculation:
Formation energy without anion corrections in eV/f.u.: -2.31
Crystal system: orthorhombic
Excess energy over the best structure of this formula in the dataset in eV/f.u.: 0.494
Symmetry: No. 44
Total energy in eV/atom: -2.68

Density functional theory data (GGA-PBE) for crystalline CaTl2Br4 at its relaxed geometry.

a = 9.222 Å, b = 9.222 Å, c = 9.222 Å
α = 144.14°, β = 144.14°, γ = 51.62°
Fractional coordinates of all 7 atoms:
Ca (0.000, 0.000, 0.000)
Tl (0.360, 0.360, 0.000)
Tl (0.640, 0.640, 0.000)
Br (0.000, 0.500, 0.500)
Br (0.173, 0.173, 0.000)
Br (0.500, 0.000, 0.500)
Br (0.827, 0.827, 0.000)

Values from the calculation:
Formation energy without anion corrections in eV/f.u.: -9.25
Crystal system: tetragonal
Excess energy over the best structure of this formula in the dataset in eV/f.u.: 0.289
Symmetry: No. 139
Total energy in eV/atom: -3.24

Density functional theory data (GGA-PBE) for crystalline CaTl2Br at its relaxed geometry.

a = 3.810 Å, b = 3.810 Å, c = 9.932 Å
α = 90.00°, β = 90.00°, γ = 114.09°
Fractional coordinates of all 4 atoms:
Ca (0.000, 0.000, 0.000)
Tl (0.500, 0.500, 0.266)
Tl (0.500, 0.500, 0.734)
Br (0.000, 0.000, 0.500)

Values from the calculation:
Formation energy without anion corrections in eV/f.u.: -1.15
Crystal system: orthorhombic
Excess energy over the best structure of this formula in the dataset in eV/f.u.: 1.651
Symmetry: No. 65
Total energy in eV/atom: -2.39